No. 1
Crystalline SrNi2Te at its relaxed geometry. Source: Alexandria, functional GGA-PBE.

Summary:
Calculated volume = 20.77 A^3/atom
Formation energy without anion corrections = 0.08 eV/atom

Cell: 3.5709 3.5709 6.5139 Å, 90.00 90.00 90.00°
Last column: nearest neighbours and their distance in Å.
Fractional coordinates of all 4 atoms:
Sr  0.0000  0.0000  0.0000  8 Ni 3.24, 2 Te 3.26, 4 Sr 3.57
Ni  0.5000  0.5000  0.3128  1 Ni 2.44
Ni  0.5000  0.5000  0.6872  1 Ni 2.44
Te  0.0000  0.0000  0.5000  8 Ni 2.80

No. 2
Crystalline CeCd3Hg2 at its relaxed geometry. Source: Alexandria, functional GGA-PBE.

Summary:
Calculated volume = 24.98 A^3/atom
Energy of formation from the pure elements = -0.12 eV per atom

Cell: 5.8574 5.8574 5.0445 Å, 90.00 90.00 120.00°
Last column: nearest neighbours and their distance in Å.
Fractional coordinates of all 6 atoms:
Ce  0.0000  0.0000  0.0000  6 Hg 3.38
Cd  0.0000  0.5000  0.5000  4 Cd 2.93, 4 Hg 3.04
Cd  0.5000  0.0000  0.5000  4 Cd 2.93, 4 Hg 3.04
Cd  0.5000  0.5000  0.5000  4 Cd 2.93, 4 Hg 3.04
Hg  0.3333  0.6667  0.0000  6 Cd 3.04, 3 Ce 3.38, 3 Hg 3.38
Hg  0.6667  0.3333  0.0000  6 Cd 3.04, 3 Ce 3.38, 3 Hg 3.38

No. 3
Crystalline LiTa2Cr at its relaxed geometry. Source: Alexandria, functional GGA-PBE.

Summary:
Calculated volume = 15.54 A^3/atom
Energy of formation from the pure elements = 0.41 eV per atom

Cell: 3.2296 3.2296 5.9608 Å, 90.00 90.00 90.00°
Last column: nearest neighbours and their distance in Å.
Fractional coordinates of all 4 atoms:
Li  0.0000  0.0000  0.0000  4 Cr 2.65, 5 Ta 2.75
Ta  0.0000  0.0000  0.5387  4 Cr 2.68, 1 Li 2.75, 4 Ta 2.83
Ta  0.5000  0.5000  0.2585  4 Li 2.75, 4 Ta 2.83, 2 Cr 2.89-3.07
Cr  0.5000  0.5000  0.7734  4 Li 2.65, 5 Ta 2.68-2.89

No. 4
Crystalline Cs3HfSe4 at its relaxed geometry. Source: Alexandria, functional GGA-PBE.

Summary:
Calculated volume = 44.34 A^3/atom
Formation energy without anion corrections = -0.93 eV/atom

Cell: 7.7413 7.7413 7.7413 Å, 112.27 112.27 104.01°
Last column: nearest neighbours and their distance in Å.
Fractional coordinates of all 8 atoms:
Cs  0.0000  0.0000  0.0000  4 Se 3.55
Cs  0.2500  0.7500  0.5000  8 Se 3.90
Cs  0.7500  0.2500  0.5000  8 Se 3.90
Hf  0.5000  0.5000  0.0000  4 Se 2.56
Se  0.2906  0.2906  0.5812  1 Hf 2.56
Se  0.2906  0.7094  0.0000  1 Hf 2.56
Se  0.7094  0.2906  0.0000  1 Hf 2.56
Se  0.7094  0.7094  0.4188  1 Hf 2.56

No. 5
Crystalline La3Tb5Y at its relaxed geometry. Source: Alexandria, functional GGA-PBE.

Summary:
Calculated volume = 36.01 A^3/atom
Energy of formation from the pure elements = 0.42 eV per atom

Cell: 7.4642 7.4642 12.8185 Å, 97.86 97.86 66.95°
Last column: nearest neighbours and their distance in Å.
Fractional coordinates of all 18 atoms:
La  0.0000  0.0000  0.0000  2 Tb 2.64
La  0.0000  0.0000  0.5000  2 La 3.29
La  0.2677  0.2677  0.5360  2 Tb 3.23-3.58, 2 La 3.27-3.29, 1 Y 3.59
La  0.3813  0.3813  0.7846  5 Tb 3.24-3.49, 1 La 3.27
La  0.6187  0.6187  0.2154  5 Tb 3.24-3.49, 1 La 3.27
La  0.7323  0.7323  0.4640  2 Tb 3.23-3.58, 2 La 3.27-3.29, 1 Y 3.59
Tb  0.0654  0.6688  0.2195  4 Tb 3.25-3.63, 1 La 3.49
Tb  0.2580  0.2580  0.0229  1 La 3.18, 2 Tb 3.41
Tb  0.3206  0.6794  0.0000  1 La 2.64, 1 Tb 2.95
Tb  0.3312  0.9346  0.7805  4 Tb 3.25-3.63, 1 La 3.49
Tb  0.4443  0.4443  0.3772  3 Tb 3.23-3.25, 3 La 3.23-3.58
Tb  0.5557  0.5557  0.6228  3 Tb 3.23-3.25, 3 La 3.23-3.58
Tb  0.6688  0.0654  0.2195  4 Tb 3.25-3.63, 1 La 3.49
Tb  0.6794  0.3206  0.0000  1 La 2.64, 1 Tb 2.95
Tb  0.7420  0.7420  0.9771  1 La 3.18, 2 Tb 3.41
Tb  0.9346  0.3312  0.7805  4 Tb 3.25-3.63, 1 La 3.49
Y  0.1408  0.1408  0.2631  3 La 3.54-3.75, 6 Tb 3.62-3.87
Y  0.8592  0.8592  0.7369  3 La 3.54-3.75, 6 Tb 3.62-3.87

No. 6
Crystalline KInGe at its relaxed geometry. Source: Alexandria, functional GGA-PBE.

Summary:
Calculated volume = 33.55 A^3/atom
Energy of formation from the pure elements = -0.01 eV per atom

Cell: 8.2003 8.2003 5.0648 Å, 107.85 107.85 126.35°
Last column: nearest neighbours and their distance in Å.
Fractional coordinates of all 6 atoms:
K  0.1789  0.8211  0.0000  3 Ge 3.45-3.54, 3 In 3.65-3.69
K  0.8211  0.1789  0.0000  3 Ge 3.45-3.54, 3 In 3.65-3.69
In  0.1026  0.1026  0.6026  4 Ge 2.96-3.07, 2 In 3.20-3.24
In  0.4688  0.4688  0.4714  4 Ge 2.95-2.97, 2 In 3.20-3.24
Ge  0.5251  0.7039  0.1180  1 Ge 2.62
Ge  0.7039  0.5251  0.1180  1 Ge 2.62

Taking the records one at a time from the top gives density of states at the Fermi level values of 4.27 8.86 4.25 4.21 31.17 2.30 states/eV per cell.